1.
This record from Alexandria describes DyGePt6 after structural relaxation. The functional is PBE-GGA.

The structure in POSCAR format:
```
DyGePt6
1.0
5.390 0.000 0.000
2.695 4.668 0.000
2.695 1.556 6.632
Dy Ge Pt
1 1 6
Cartesian
5.390 3.112 3.316
0.000 0.000 0.000
9.406 5.431 4.736
6.765 5.431 4.736
2.695 3.081 1.895
4.016 0.794 1.895
1.374 0.794 1.895
8.085 3.143 4.736
```

Calculated values
* E above lowest polymorph: 1.66 eV/f.u.
* ΔH_f (0 K): -0.43 eV/atom
* crystal system: trigonal
* total magnetic moment: 0.00 Bohr magnetons per cell
* electronic total energy: -48.9 eV per cell

2.
This record from Alexandria describes DyGePt after structural relaxation. The functional is PBE-GGA.

The structure in POSCAR format:
```
DyGePt
1.0
-4.341 -0.541 -0.116
0.769 -6.639 2.217
-0.488 2.364 7.247
Ge Pt Dy
4 4 4
Cartesian
-1.291 -0.042 7.264
-0.749 -4.125 6.034
-2.768 -4.774 2.085
-3.310 -0.692 3.314
-0.989 -2.655 8.169
-1.212 -0.117 4.663
-2.847 -4.699 4.686
-3.070 -2.162 1.180
-3.211 -2.085 6.129
-0.418 -6.270 3.657
-3.641 1.454 5.692
-0.848 -2.732 3.219
```

Calculated values
* ΔH_f (0 K): -1.14 eV/atom
* crystal system: orthorhombic
* total magnetic moment: 0.00 Bohr magnetons per cell
* electronic total energy: -74.7 eV per cell